Entry 1:
CsAlGa3 | PBE | relaxed

Calculated values
offset from the most stable computed form: 0 meV per atom
formation enthalpy at 0 K: -0.059 eV/atom

```
data_CsAlGa3
_space_group_name_H-M_alt 'P 1 21/c 1'
_space_group_IT_number 14
_space_group_name_Hall '-P 2ybc'
_cell_length_a 10.880
_cell_length_b 11.678
_cell_length_c 4.669
_cell_angle_alpha 90.00
_cell_angle_beta 93.10
_cell_angle_gamma 90.00
loop_
_atom_site_label
_atom_site_fract_x
_atom_site_fract_y
_atom_site_fract_z
_atom_site_occupancy
Cs1 0.188 0.073 0.166 1
Al1 0.302 0.690 0.202 1
Ga1 0.087 0.709 0.906 1
Ga2 0.443 0.514 0.250 1
Ga3 0.475 0.201 0.572 1
```



Entry 2:
Cs2AlGaH6 | PBE | relaxed

Calculated values
energy: -2.95 eV per atom

```
data_Cs2AlGaH6
_space_group_name_H-M_alt 'F m -3 m'
_space_group_IT_number 225
_space_group_name_Hall '-F 4 2 3'
_cell_length_a 8.638
_cell_length_b 8.638
_cell_length_c 8.638
_cell_angle_alpha 90.00
_cell_angle_beta 90.00
_cell_angle_gamma 90.00
loop_
_atom_site_label
_atom_site_fract_x
_atom_site_fract_y
_atom_site_fract_z
_atom_site_occupancy
Cs1 0.250 0.250 0.250 1
Al1 0.000 0.000 0.000 1
Ga1 0.000 0.000 0.500 1
H1 0.000 0.000 0.208 1
```



M_tot
In order: 0.0 0.0
Unit: μB per formula unit
Density
In order: 4.14 3.80
Unit: g/cm3